Here is TlVReO6 after structural relaxation from Alexandria. Energies are from GGA+U.

Properties
- V: 16.05 A^3/atom
- Electronic total energy: -7.33 eV/atom

abc: 5.1969 5.1500 6.1178
angles: 89.30 90.94 61.92
With the nearest neighbours (Å) after each atom.
Element x y z (fractional)
1 Re 0.3256 0.3403 0.5240  5 O 1.83-1.96
2 O 0.0076 0.3874 0.3229  1 V 1.91, 1 Re 1.96
3 O 0.6009 0.3992 0.6788  1 Re 1.85, 1 V 2.06
4 V 0.6750 0.6713 0.4693  3 O 1.79-1.96
5 O 0.3956 0.5803 0.3141  1 Re 1.93, 1 V 1.96
6 Tl 0.0067 0.9998 0.0215  6 O 2.74-2.96
7 O 0.5956 0.0053 0.3230  1 V 1.79
8 O 0.3820 0.0069 0.6730  1 Re 1.83
9 O 0.0106 0.6095 0.6732  1 Re 1.84, 1 V 2.02